Entry 1:
A relaxed CaCr2Te crystal, computed with PBE.

Lattice parameters (Å, degrees): 4.3089 4.3089 6.3563 70.22 70.22 60.01
Last column: magnetic moment on the atom in μB.
Sites, in units of the cell vectors:
Te (0.4654, 0.4654, 0.6034)  0.01
Cr (0.7176, 0.7176, 0.8471)  3.07
Cr (0.0525, 0.0525, 0.8422)  -3.03
Ca (0.2645, 0.2645, 0.2074)  0.00

Calculated values
**SG**: No. 160
**Formation energy without anion corrections**: -0.09 eV per atom
**Total moment**: 0.0 μB per cell

***

Entry 2:
A relaxed CaCr2TeW crystal, computed with PBE.

Lattice parameters (Å, degrees): 4.7647 4.7647 4.9987 90.00 90.00 90.00
Last column: magnetic moment on the atom in μB.
Sites, in units of the cell vectors:
Ca (0.5000, 0.5000, 0.5000)  0.00
Cr (0.0000, 0.5000, 0.0000)  0.03
W (0.0000, 0.0000, 0.5000)  0.27
Cr (0.5000, 0.0000, 0.0000)  0.03
Te (0.0000, 0.0000, 0.0000)  0.01

Calculated values
**SG**: No. 123
**Formation energy without anion corrections**: 1.62 eV per atom
**Total moment**: 0.4 μB per cell

***

Entry 3:
A relaxed CaTiCr2 crystal, computed with PBE.

Lattice parameters (Å, degrees): 4.4477 4.4477 9.3116 76.18 76.18 90.00
Last column: magnetic moment on the atom in μB.
Sites, in units of the cell vectors:
Cr (0.8296, 0.6250, 0.2500)  1.07
Ca (0.5000, 0.5000, 0.0000)  0.01
Ti (0.0000, 0.0000, 0.0000)  -0.34
Ti (0.7500, 0.2500, 0.5000)  -0.34
Cr (0.3750, 0.0796, 0.7500)  1.12
Cr (0.8750, 0.1704, 0.7500)  1.19
Cr (0.9204, 0.1250, 0.2500)  1.07
Ca (0.2500, 0.7500, 0.5000)  0.01

Calculated values
**E_form**: 1127 meV per atom
**Energy above the most stable polymorph in this dataset**: 423 meV per atom
**SG**: No. 122
**Total moment**: 4.2 μB per cell

***

Number 1: uncorrected energy -6.191 eV per atom. Number 2: uncorrected energy -5.852 eV per atom. Number 3: uncorrected energy -6.159 eV per atom.